(1)
The following is a DFT calculation (PBE) of an optimized crystal structure of Pm2BeGa3.

Unit cell a=4.190 b=4.194 c=7.251 alpha=90.00 beta=90.00 gamma=90.00
Positions (direct):
Pm 0.000 0.000 0.000
Pm 0.500 0.000 0.495
Be 0.500 0.500 0.170
Ga 0.000 0.500 0.315
Ga 0.000 0.500 0.662
Ga 0.500 0.500 0.850

Summary:
The energy above the most stable polymorph in this dataset is 5 meV/atom. The formation energy is -0.5339 eV/atom. The space group is Pmm2 (25).

---

(2)
The following is a DFT calculation (PBE) of an optimized crystal structure of CeLuOsPd.

Unit cell a=4.881 b=4.881 c=4.881 alpha=60.00 beta=60.00 gamma=60.00
Positions (direct):
Ce 0.000 0.000 0.000
Lu 0.500 0.500 0.500
Os 0.250 0.250 0.250
Pd 0.750 0.750 0.750

Summary:
The formation energy is -0.5060 eV/atom. The space group is F-43m (216).

---

What did the second record say?
The following is a DFT calculation (PBE) of an optimized crystal structure of CeLuOsPd.

Unit cell a=4.881 b=4.881 c=4.881 alpha=60.00 beta=60.00 gamma=60.00
Positions (direct):
Ce 0.000 0.000 0.000
Lu 0.500 0.500 0.500
Os 0.250 0.250 0.250
Pd 0.750 0.750 0.750

Summary:
The formation energy is -0.5060 eV/atom. The space group is F-43m (216).